A relaxed Li2AsOs crystal, computed with PBE-GGA.

Cell: 8.722 3.016 4.750 Å, 90.00 112.20 90.00°
Space group Cm (No. 8)
Inequivalent atoms, fractional coordinates:
Li (0.000, 0.000, 0.000) (multiplicity 2)
Li (0.238, 0.000, 0.863) (multiplicity 2)
As (0.243, 0.500, 0.421) (multiplicity 2)
Os (0.468, 0.000, 0.462) (multiplicity 2)

Results
magnetization	0.45	μB per cell
offset from the most stable computed form	0.00	eV/f.u.
formation energy	-0.133	eV/atom
electronic total energy	-40.5	eV/cell

=====

A relaxed Li2AsOs crystal, computed with PBE-GGA.

Cell: 3.137 4.036 4.356 Å, 90.00 90.00 90.00°
Space group Pmmm (No. 47)
Inequivalent atoms, fractional coordinates:
Li (0.000, 0.000, 0.000) (multiplicity 1)
Li (0.500, 0.500, 0.000) (multiplicity 1)
As (0.000, 0.500, 0.500) (multiplicity 1)
Os (0.500, 0.000, 0.500) (multiplicity 1)

Results
magnetization	0.00	μB per cell
offset from the most stable computed form	0.52	eV/f.u.
formation energy	-0.004	eV/atom
electronic total energy	-19.7	eV/cell

=====

A relaxed LiAs2Os crystal, computed with PBE-GGA.

Cell: 3.142 3.142 6.921 Å, 90.00 90.00 90.00°
Space group P4mm (No. 99)
Inequivalent atoms, fractional coordinates:
Li (0.000, 0.000, 0.000) (multiplicity 1)
As (0.000, 0.000, 0.387) (multiplicity 1)
As (0.500, 0.500, 0.831) (multiplicity 1)
Os (0.500, 0.500, 0.207) (multiplicity 1)

Results
magnetization	0.00	μB per cell
offset from the most stable computed form	0.71	eV/f.u.
formation energy	0.048	eV/atom
electronic total energy	-22.3	eV/cell

=====

A relaxed Li2AsOs crystal, computed with PBE-GGA.

Cell: 2.9639 2.9639 25.9368 Å, 90.00 90.00 120.00°
Space group R3m (No. 160, hexagonal axes)
Inequivalent atoms, fractional coordinates:
Li (0.0000, 0.0000, 0.0000) (multiplicity 3)
Li (0.0000, 0.0000, 0.2340) (multiplicity 3)
As (0.0000, 0.0000, 0.7493) (multiplicity 3)
Os (0.0000, 0.0000, 0.4853) (multiplicity 3)

Results
magnetization	0.00	μB per cell
offset from the most stable computed form	0.91	eV/f.u.
formation energy	0.095	eV/atom
electronic total energy	-58.0	eV/cell

=====

A relaxed LiAsOs crystal, computed with PBE-GGA.

Cell: 3.026 4.780 12.852 Å, 90.00 90.00 90.00°
Space group Fmm2 (No. 42)
Inequivalent atoms, fractional coordinates:
Li (0.000, 0.000, 0.000) (multiplicity 4)
As (0.000, 0.000, 0.322) (multiplicity 4)
Os (0.000, 0.000, 0.670) (multiplicity 4)

Results
magnetization	0.00	μB per cell
formation energy	0.265	eV/atom
electronic total energy	-68.0	eV/cell

=====

A relaxed Li4AsOs crystal, computed with PBE-GGA.

Cell: 6.669 6.669 6.669 Å, 90.00 90.00 90.00°
Space group F-43m (No. 216)
Inequivalent atoms, fractional coordinates:
Li (0.123, 0.123, 0.123) (multiplicity 16)
As (0.000, 0.000, 0.500) (multiplicity 4)
Os (0.250, 0.250, 0.750) (multiplicity 4)

Results
magnetization	0.00	μB per cell
formation energy	0.209	eV/atom
electronic total energy	-89.1	eV/cell

=====

A relaxed Li2AsOs crystal, computed with PBE-GGA.

Cell: 3.028 4.874 8.880 Å, 90.00 90.00 90.00°
Space group Cmm2 (No. 35)
Inequivalent atoms, fractional coordinates:
Li (0.000, 0.000, 0.000) (multiplicity 2)
Li (0.000, 0.500, 0.295) (multiplicity 2)
As (0.000, 0.500, 0.757) (multiplicity 2)
Os (0.000, 0.000, 0.540) (multiplicity 2)

Results
magnetization	0.00	μB per cell
offset from the most stable computed form	1.38	eV/f.u.
formation energy	0.212	eV/atom
electronic total energy	-37.7	eV/cell

=====

A relaxed LiAs2Os crystal, computed with PBE-GGA.

Cell: 7.754 3.094 5.476 Å, 90.00 99.77 90.00°
Space group C2/m (No. 12)
Inequivalent atoms, fractional coordinates:
Li (0.000, 0.000, 0.000) (multiplicity 2)
As (0.235, 0.000, 0.726) (multiplicity 4)
Os (0.000, 0.500, 0.500) (multiplicity 2)

Results
magnetization	0.00	μB per cell
offset from the most stable computed form	0.10	eV/f.u.
formation energy	-0.104	eV/atom
electronic total energy	-45.7	eV/cell